Record 1
The following is a PBE-GGA calculation of a relaxed structure of Sc6Tl2AuO, from Alexandria.

Results
uncorrected formation energy: -0.622 eV/atom
symmetry: P4/mmm (123)
DFT total energy: -5.72 eV per atom

Lattice parameters (Å, degrees): 4.903 4.903 9.598 90.00 90.00 90.00
Fractional coordinates of all 10 atoms:
Au (0.500, 0.500, 0.000)
Tl (0.000, 0.000, 0.272)
Tl (0.000, 0.000, 0.728)
Sc (0.000, 0.500, 0.000)
Sc (0.500, 0.000, 0.500)
Sc (0.000, 0.500, 0.500)
Sc (0.500, 0.500, 0.280)
Sc (0.500, 0.000, 0.000)
Sc (0.500, 0.500, 0.720)
O (0.500, 0.500, 0.500)


Record 2
The following is a PBE-GGA calculation of a relaxed structure of Sc4TlAuO, from Alexandria.

Results
uncorrected formation energy: -1.170 eV/atom
symmetry: Cmcm (63)
DFT total energy: -6.30 eV per atom

Lattice parameters (Å, degrees): 6.185 6.190 7.867 90.00 113.15 90.00
Fractional coordinates of all 14 atoms:
Sc (0.500, 0.000, 0.500)
Sc (0.932, 0.250, 0.864)
Sc (0.000, 0.500, 0.500)
Sc (0.413, 0.750, 0.827)
Sc (0.500, 0.500, 0.500)
Sc (0.587, 0.250, 0.173)
Sc (0.000, 0.000, 0.500)
Sc (0.068, 0.750, 0.136)
O (0.746, 0.250, 0.493)
O (0.254, 0.750, 0.507)
Au (0.881, 0.750, 0.762)
Au (0.119, 0.250, 0.238)
Tl (0.390, 0.250, 0.779)
Tl (0.610, 0.750, 0.221)


Record 3
The following is a PBE-GGA calculation of a relaxed structure of Y2ScAuO, from Alexandria.

Results
uncorrected formation energy: 0.209 eV/atom
symmetry: P4/mmm (123)
DFT total energy: -5.29 eV per atom

Lattice parameters (Å, degrees): 5.840 3.995 5.840 90.00 90.00 90.00
Last column: magnetic moment on the atom in μB.
Fractional coordinates of all 5 atoms:
O (0.000, 0.500, 0.000)  0.01
Sc (0.500, 0.500, 0.500)  0.29
Au (0.000, 0.000, 0.000)  0.01
Y (0.500, 0.000, 0.000)  0.21
Y (0.000, 0.000, 0.500)  0.16


Record 4
The following is a PBE-GGA calculation of a relaxed structure of Y2ScAuO, from Alexandria.

Results
uncorrected formation energy: -1.501 eV/atom
symmetry: P4/mmm (123)
DFT total energy: -7.00 eV per atom

Lattice parameters (Å, degrees): 4.778 4.778 4.332 90.00 90.00 90.00
Fractional coordinates of all 5 atoms:
O (0.000, 0.000, 0.000)
Y (0.500, 0.000, 0.000)
Y (0.000, 0.500, 0.000)
Sc (0.000, 0.000, 0.500)
Au (0.500, 0.500, 0.500)


Record 5
The following is a PBE-GGA calculation of a relaxed structure of Y2ScAuO, from Alexandria.

Results
uncorrected formation energy: -0.409 eV/atom
symmetry: P4/mmm (123)
DFT total energy: -5.91 eV per atom

Lattice parameters (Å, degrees): 5.723 3.862 5.723 90.00 90.00 90.00
Fractional coordinates of all 5 atoms:
Au (0.500, 0.500, 0.500)
Sc (0.000, 0.000, 0.000)
Y (0.000, 0.000, 0.500)
Y (0.500, 0.000, 0.000)
O (0.000, 0.500, 0.000)


Record 6
The following is a PBE-GGA calculation of a relaxed structure of Sc4ZnAuO, from Alexandria.

Results
uncorrected formation energy: -1.149 eV/atom
symmetry: Cmcm (63)
DFT total energy: -6.13 eV per atom

Lattice parameters (Å, degrees): 6.137 6.129 7.605 90.00 113.80 90.00
Fractional coordinates of all 14 atoms:
Zn (0.380, 0.250, 0.759)
Zn (0.620, 0.750, 0.241)
Sc (0.000, 0.500, 0.500)
Sc (0.575, 0.250, 0.150)
Sc (0.425, 0.750, 0.850)
Sc (0.500, 0.000, 0.500)
Sc (0.000, 0.000, 0.500)
Sc (0.073, 0.750, 0.146)
Sc (0.500, 0.500, 0.500)
Sc (0.927, 0.250, 0.854)
Au (0.117, 0.250, 0.235)
Au (0.883, 0.750, 0.765)
O (0.749, 0.250, 0.497)
O (0.251, 0.750, 0.503)


Record 7
The following is a PBE-GGA calculation of a relaxed structure of ScZnAuO4, from Alexandria.

Results
uncorrected formation energy: -1.562 eV/atom
symmetry: Imma (74)
DFT total energy: -5.95 eV per atom

Lattice parameters (Å, degrees): 6.123 6.577 6.151 117.88 90.00 117.74
Fractional coordinates of all 14 atoms:
O (0.729, 0.459, 0.702)
O (0.271, 0.541, 0.298)
O (0.759, 0.070, 0.785)
O (0.729, 0.459, 0.257)
O (0.241, 0.930, 0.215)
O (0.271, 0.541, 0.743)
O (0.689, 0.930, 0.215)
O (0.311, 0.070, 0.785)
Au (0.500, 0.500, 0.500)
Au (0.000, 0.500, 0.500)
Zn (0.876, 0.752, 0.126)
Zn (0.124, 0.248, 0.874)
Sc (0.500, 0.000, 0.500)
Sc (0.500, 0.000, 0.000)


Record 8
The following is a PBE-GGA calculation of a relaxed structure of Zr2ScAuO, from Alexandria.

Results
uncorrected formation energy: -1.356 eV/atom
symmetry: P4/mmm (123)
DFT total energy: -7.69 eV per atom

Lattice parameters (Å, degrees): 4.455 4.455 4.393 90.00 90.00 90.00
Fractional coordinates of all 5 atoms:
Zr (0.500, 0.000, 0.000)
Zr (0.000, 0.500, 0.000)
Au (0.500, 0.500, 0.500)
Sc (0.000, 0.000, 0.500)
O (0.000, 0.000, 0.000)


Record 9
The following is a PBE-GGA calculation of a relaxed structure of Zr2ScAuO, from Alexandria.

Results
uncorrected formation energy: 0.053 eV/atom
symmetry: P4/mmm (123)
DFT total energy: -6.28 eV per atom

Lattice parameters (Å, degrees): 5.370 3.781 5.370 90.00 90.00 90.00
Fractional coordinates of all 5 atoms:
Zr (0.000, 0.000, 0.500)
Zr (0.500, 0.000, 0.000)
Sc (0.000, 0.000, 0.000)
O (0.000, 0.500, 0.000)
Au (0.500, 0.500, 0.500)


Record 10
The following is a PBE-GGA calculation of a relaxed structure of AuSe2O, from Alexandria.

Results
uncorrected formation energy: 0.058 eV/atom
symmetry: R-3m (166)
DFT total energy: -3.74 eV per atom

Lattice parameters (Å, degrees): 6.888 6.888 6.888 34.07 34.07 34.07
Fractional coordinates of all 4 atoms:
Se (0.098, 0.098, 0.098)
Se (0.902, 0.902, 0.902)
O (0.000, 0.000, 0.000)
Au (0.500, 0.500, 0.500)


Record 11
The following is a PBE-GGA calculation of a relaxed structure of AuSe2O8, from Alexandria.

Results
uncorrected formation energy: -0.223 eV/atom
symmetry: C2/m (12)
DFT total energy: -4.76 eV per atom

Lattice parameters (Å, degrees): 6.072 6.440 6.072 90.73 61.57 90.73
Last column: magnetic moment on the atom in μB.
Fractional coordinates of all 11 atoms:
O (0.648, 0.772, 0.648)  0.11
O (0.176, 0.550, 0.176)  0.08
O (0.352, 0.228, 0.352)  0.11
O (0.824, 0.450, 0.824)  0.08
O (0.314, 0.168, 0.909)  0.11
O (0.091, 0.832, 0.686)  0.11
O (0.686, 0.832, 0.091)  0.11
O (0.909, 0.168, 0.314)  0.11
Au (0.000, 0.000, 0.000)  0.15
Se (0.203, 0.301, 0.203)  -0.02
Se (0.797, 0.699, 0.797)  -0.02


Record 12
The following is a PBE-GGA calculation of a relaxed structure of AuSeO3, from Alexandria.

Results
uncorrected formation energy: -0.350 eV/atom
symmetry: Cc (9)
DFT total energy: -4.68 eV per atom

Lattice parameters (Å, degrees): 7.440 7.407 7.407 49.98 40.11 40.11
Fractional coordinates of all 10 atoms:
O (0.058, 0.696, 0.384)
O (0.298, 0.049, 0.911)
O (0.220, 0.641, 0.715)
O (0.720, 0.215, 0.141)
O (0.798, 0.411, 0.549)
O (0.558, 0.884, 0.196)
Au (0.287, 0.275, 0.328)
Au (0.787, 0.828, 0.775)
Se (0.109, 0.900, 0.045)
Se (0.609, 0.545, 0.400)


Q: Which value of uncorrected formation energy does entry 3 give?
A: 0.209 eV/atom